The following is a PBE-GGA calculation of crystalline CaSi3Ge at its relaxed geometry, from Alexandria via LeMat-Bulk.

The formation energy from raw total energies is 1.54 eV/atom. For the energy above the lowest structure with this stoichiometry, the calculation gives 991.6 meV/atom. The value obtained for the density of states at the Fermi level is 0.840 states/eV per atom. The total energy is -3.040 eV/atom. The value obtained for the size of the total moment is 0.63 μB/cell. As for the space group: Pm-3m (221).

Cell lengths 5.220, 5.220, 5.220 Å; angles 90.00, 90.00, 90.00 degrees
Site moments in Bohr magnetons follow the coordinates.
Sites, in units of the cell vectors:
Ge: 0.500 0.500 0.500  -0.02
Si: 0.000 0.500 0.000  0.06
Si: 0.000 0.000 0.500  0.06
Si: 0.500 0.000 0.000  0.07
Ca: 0.000 0.000 0.000  0.14

=====

The following is a PBE-GGA calculation of crystalline Ac3Zn4Pd4 at its relaxed geometry, from Alexandria via LeMat-Bulk.

For the energy above the lowest structure with this stoichiometry, the calculation gives 0.0 meV/atom. The value obtained for the density of states at the Fermi level is 0.509 states/eV per atom. The total energy is -4.142 eV/atom. The value obtained for the size of the total moment is 0.00 μB/cell. As for the space group: Immm (71). The calculated formation energy comes out at -0.670 eV per atom.

Cell lengths 4.310, 7.644, 8.637 Å; angles 116.26, 104.45, 90.00 degrees
Sites, in units of the cell vectors:
Ac: 0.131 0.131 0.262
Ac: 0.869 0.869 0.738
Ac: 0.000 0.500 0.000
Zn: 0.329 0.143 0.658
Zn: 0.671 0.485 0.342
Zn: 0.671 0.857 0.342
Zn: 0.329 0.515 0.658
Pd: 0.215 0.715 0.430
Pd: 0.785 0.285 0.570
Pd: 0.500 0.804 0.000
Pd: 0.500 0.196 0.000

=====

The following is a PBE-GGA calculation of crystalline Rb12Au5F3 at its relaxed geometry, from Alexandria via LeMat-Bulk.

The formation energy from raw total energies is -0.71 eV/atom. The value obtained for the density of states at the Fermi level is 0.447 states/eV per atom. The total energy is -2.386 eV/atom. The value obtained for the size of the total moment is 0.00 μB/cell. As for the space group: Ia-3d (230).

Cell lengths 16.883, 16.883, 16.883 Å; angles 109.47, 109.47, 109.47 degrees
Sites, in units of the cell vectors:
F: 0.750 0.375 0.125
F: 0.875 0.750 0.125
F: 0.375 0.750 0.625
F: 0.250 0.125 0.375
F: 0.875 0.125 0.250
F: 0.375 0.625 0.250
F: 0.625 0.375 0.750
F: 0.125 0.875 0.750
F: 0.750 0.875 0.625
F: 0.625 0.250 0.375
F: 0.125 0.250 0.875
F: 0.250 0.625 0.875
Au: 0.125 0.375 0.250
Au: 0.000 0.500 0.000
Au: 0.000 0.000 0.000
Au: 0.375 0.250 0.125
Au: 0.500 0.000 0.500
Au: 0.500 0.500 0.000
Au: 0.125 0.750 0.375
Au: 0.750 0.125 0.875
Au: 0.750 0.625 0.375
Au: 0.375 0.125 0.750
Au: 0.625 0.875 0.250
Au: 0.500 0.500 0.500
Au: 0.500 0.000 0.000
Au: 0.000 0.000 0.500
Au: 0.250 0.375 0.625
Au: 0.250 0.875 0.125
Au: 0.000 0.500 0.500
Au: 0.875 0.250 0.625
Au: 0.625 0.750 0.875
Au: 0.875 0.625 0.750
Rb: 0.744 0.120 0.071
Rb: 0.328 0.571 0.451
Rb: 0.929 0.380 0.256
Rb: 0.571 0.244 0.120
Rb: 0.624 0.744 0.672
Rb: 0.929 0.549 0.172
Rb: 0.328 0.756 0.376
Rb: 0.049 0.876 0.120
Rb: 0.549 0.929 0.672
Rb: 0.744 0.624 0.172
Rb: 0.756 0.429 0.380
Rb: 0.828 0.951 0.071
Rb: 0.120 0.744 0.571
Rb: 0.380 0.451 0.124
Rb: 0.124 0.951 0.380
Rb: 0.376 0.120 0.549
Rb: 0.124 0.172 0.244
Rb: 0.429 0.672 0.049
Rb: 0.828 0.876 0.256
Rb: 0.120 0.376 0.049
Rb: 0.380 0.929 0.756
Rb: 0.549 0.620 0.376
Rb: 0.951 0.828 0.571
Rb: 0.756 0.328 0.876
Rb: 0.451 0.380 0.624
Rb: 0.049 0.172 0.429
Rb: 0.244 0.672 0.124
Rb: 0.172 0.124 0.744
Rb: 0.620 0.071 0.244
Rb: 0.880 0.624 0.951
Rb: 0.571 0.328 0.951
Rb: 0.624 0.880 0.451
Rb: 0.876 0.828 0.756
Rb: 0.876 0.049 0.620
Rb: 0.880 0.256 0.429
Rb: 0.172 0.049 0.929
Rb: 0.620 0.549 0.876
Rb: 0.451 0.071 0.328
Rb: 0.256 0.376 0.828
Rb: 0.244 0.571 0.620
Rb: 0.951 0.124 0.880
Rb: 0.672 0.244 0.624
Rb: 0.429 0.756 0.880
Rb: 0.071 0.451 0.828
Rb: 0.376 0.256 0.328
Rb: 0.071 0.620 0.744
Rb: 0.672 0.429 0.549
Rb: 0.256 0.880 0.929

=====

The following is a PBE-GGA calculation of crystalline Tb5Ho5Mg2 at its relaxed geometry, from Alexandria via LeMat-Bulk.

The value obtained for the density of states at the Fermi level is 1.384 states/eV per atom. The total energy is -4.088 eV/atom. The value obtained for the size of the total moment is 0.00 μB/cell. As for the space group: C2/m (12). The calculated formation energy comes out at 0.015 eV per atom.

Cell lengths 4.971, 10.448, 7.835 Å; angles 72.46, 71.51, 76.24 degrees
Sites, in units of the cell vectors:
Tb: 0.918 0.748 0.417
Tb: 0.251 0.745 0.753
Tb: 0.749 0.255 0.247
Tb: 0.082 0.252 0.583
Tb: 0.000 0.000 0.000
Ho: 0.500 0.500 0.500
Ho: 0.415 0.255 0.915
Ho: 0.334 0.998 0.334
Ho: 0.666 0.002 0.666
Ho: 0.585 0.745 0.085
Mg: 0.832 0.500 0.836
Mg: 0.168 0.500 0.164

=====

The following is a PBE-GGA calculation of crystalline CaCuSi2Pd5 at its relaxed geometry, from Alexandria via LeMat-Bulk.

The formation energy from raw total energies is -0.44 eV/atom. The value obtained for the density of states at the Fermi level is 0.319 states/eV per atom. The total energy is -5.207 eV/atom. The value obtained for the size of the total moment is 0.00 μB/cell. As for the space group: P4/mmm (123).

Cell lengths 4.656, 4.656, 7.046 Å; angles 90.00, 90.00, 90.00 degrees
Sites, in units of the cell vectors:
Ca: 0.000 0.000 0.500
Cu: 0.000 0.000 0.000
Si: 0.500 0.500 0.160
Si: 0.500 0.500 0.840
Pd: 0.000 0.500 0.219
Pd: 0.500 0.000 0.219
Pd: 0.000 0.500 0.781
Pd: 0.500 0.000 0.781
Pd: 0.500 0.500 0.500

=====

The following is a PBE-GGA calculation of crystalline Pd4Pt4W at its relaxed geometry, from Alexandria via LeMat-Bulk.

The value obtained for the density of states at the Fermi level is 1.098 states/eV per atom. The total energy is -6.619 eV/atom. The value obtained for the size of the total moment is 0.00 μB/cell. As for the space group: I4/mmm (139). The calculated formation energy comes out at -0.187 eV per atom.

Cell lengths 3.950, 6.259, 6.259 Å; angles 84.29, 71.61, 71.61 degrees
Sites, in units of the cell vectors:
Pd: 0.000 0.671 0.329
Pd: 0.000 0.329 0.671
Pd: 0.671 0.329 0.329
Pd: 0.329 0.671 0.671
Pt: 0.338 0.323 0.000
Pt: 0.662 0.677 0.000
Pt: 0.662 0.000 0.677
Pt: 0.338 0.000 0.323
W: 0.000 0.000 0.000